The following is a PBE with a Hubbard U calculation of a geometry-optimized CrGePdO structure, from Alexandria.

Cell: 3.4075 2.9912 12.5659 Å, 90.00 90.00 90.00°
Each line ends with the local moment (μB).
Element x y z (fractional)
Cr 0.0000 0.0000 0.3243  3.48
Cr 0.0000 0.5000 0.8243  3.48
Ge 0.5000 0.0000 0.6854  -0.11
Ge 0.5000 0.5000 0.1854  -0.11
Pd 0.0000 0.0000 0.0883  -0.07
Pd 0.0000 0.5000 0.5883  -0.07
O 0.0000 0.0000 0.9191  -0.15
O 0.0000 0.5000 0.4191  -0.15

Output
Distance to the lowest polymorph of the same formula = 0.280 eV/atom
Theoretical density = 6.4 g/cm³
Final energy = -48.24 eV/cell
DOS(E_F) = 0.43 states/eV/atom